Computed, not measured: an optimized crystal structure of NbCoAs3 at the PBE level of DFT.

Cell: 4.5272 4.5272 4.5272 Å, 90.00 90.00 90.00°
Sites, in units of the cell vectors:
As 0.0000 0.0000 0.5000
As 0.0000 0.5000 0.0000
As 0.5000 0.0000 0.0000
Co 0.0000 0.0000 0.0000
Nb 0.5000 0.5000 0.5000

Computed properties:
E_form = 0.582 eV/atom
E above lowest polymorph = 0 meV per atom
uncorrected energy = -28.2 eV/cell
density of states at the Fermi level = 7.6 states/eV/f.u.
size of the total moment = 0.00 μB per formula unit

Computed, not measured: an optimized crystal structure of NbCo2As at the PBE level of DFT.

Cell: 3.8367 3.8367 8.4444 Å, 76.87 76.87 90.00°
Sites, in units of the cell vectors:
As 0.5000 0.5000 0.0000
As 0.2500 0.7500 0.5000
Co 0.8750 0.8511 0.7500
Co 0.3750 0.3989 0.7500
Co 0.1489 0.6250 0.2500
Co 0.6011 0.1250 0.2500
Nb 0.7500 0.2500 0.5000
Nb 0.0000 0.0000 0.0000

Computed properties:
E_form = 0.123 eV/atom
uncorrected energy = -56.9 eV/cell
density of states at the Fermi level = 2.8 states/eV/f.u.
size of the total moment = 0.02 μB per formula unit

Computed, not measured: an optimized crystal structure of NbCo2AsP at the PBE level of DFT.

Cell: 4.0109 4.9968 4.0109 Å, 90.00 90.00 90.00°
Sites, in units of the cell vectors:
P 0.0000 0.0000 0.0000
Co 0.0000 0.0000 0.5000
Co 0.5000 0.0000 0.0000
As 0.0000 0.5000 0.0000
Nb 0.5000 0.5000 0.5000

Computed properties:
E_form = 0.469 eV/atom
uncorrected energy = -32.0 eV/cell
density of states at the Fermi level = 5.4 states/eV/f.u.
size of the total moment = 1.65 μB per formula unit

Computed, not measured: an optimized crystal structure of PaNbCo2As2 at the PBE level of DFT.

Cell: 3.9093 3.9093 7.4328 Å, 90.00 90.00 120.00°
Sites, in units of the cell vectors:
Co 0.3333 0.6667 0.7674
Co 0.6667 0.3333 0.2326
As 0.3333 0.6667 0.2840
As 0.6667 0.3333 0.7160
Pa 0.0000 0.0000 0.0000
Nb 0.0000 0.0000 0.5000

Computed properties:
E_form = -0.591 eV/atom
uncorrected energy = -46.6 eV/cell
density of states at the Fermi level = 4.2 states/eV/f.u.
size of the total moment = 0.00 μB per formula unit

Computed, not measured: an optimized crystal structure of Pa2NbCo4As3 at the PBE level of DFT.

Cell: 4.0143 4.0143 9.9317 Å, 90.00 90.00 90.00°
Sites, in units of the cell vectors:
Co 0.5000 0.0000 0.6391
Co 0.5000 0.5000 0.0000
Co 0.0000 0.0000 0.0000
Co 0.0000 0.5000 0.3609
As 0.0000 0.0000 0.5000
As 0.5000 0.0000 0.8716
As 0.0000 0.5000 0.1284
Nb 0.5000 0.5000 0.5000
Pa 0.5000 0.0000 0.2366
Pa 0.0000 0.5000 0.7634

Computed properties:
E_form = -0.627 eV/atom
uncorrected energy = -77.7 eV/cell
density of states at the Fermi level = 5.3 states/eV/f.u.
size of the total moment = 1.98 μB per formula unit

Computed, not measured: an optimized crystal structure of NbCoAsSe2 at the PBE level of DFT.

Cell: 4.6038 4.6038 4.4730 Å, 90.00 90.00 90.00°
Sites, in units of the cell vectors:
Co 0.0000 0.0000 0.0000
Nb 0.5000 0.5000 0.5000
Se 0.0000 0.5000 0.0000
Se 0.5000 0.0000 0.0000
As 0.0000 0.0000 0.5000

Computed properties:
E above lowest polymorph = 0 meV per atom
uncorrected energy = -26.3 eV/cell
density of states at the Fermi level = 4.3 states/eV/f.u.
size of the total moment = 0.00 μB per formula unit
uncorrected formation energy = 2.474 eV/f.u.